1.
First-principles (PBE) data for a geometry-optimized AcLaNp2O8 structure, as listed in Alexandria.

The calculation puts the uncorrected formation energy at -3.1574 eV/atom. The calculation puts the density at 9.42 g cm⁻³. The calculation puts the total energy at -9.37 eV per atom.

Unit cell a=5.6001 b=5.6001 c=10.8766 alpha=90.00 beta=90.00 gamma=90.00
With the nearest neighbours (Å) after each atom.
Space group I-4m2 (No. 119)
One atom of each set of equivalent atoms:
Ac 0.0000 0.0000 0.0000 (multiplicity 2)  8 O 2.52
La 0.0000 0.5000 0.7500 (multiplicity 2)  8 O 2.48
Np 0.0000 0.0000 0.5000 (multiplicity 2)  8 O 2.31
Np 0.0000 0.5000 0.2500 (multiplicity 2)  8 O 2.31
O 0.2204 0.2466 0.3736 (multiplicity 16)  2 Np 2.31, 1 O 2.47, 1 La 2.48, 1 Ac 2.52

***

2.
First-principles (PBE) data for a geometry-optimized AcLa3O structure, as listed in Alexandria.

The calculation puts the uncorrected formation energy at -1.0943 eV/atom. The calculation puts the density at 7.52 g cm⁻³. The calculation puts the total energy at -5.86 eV per atom.

Unit cell a=5.2610 b=5.2610 c=5.2610 alpha=90.00 beta=90.00 gamma=90.00
With the nearest neighbours (Å) after each atom.
Space group Pm-3m (No. 221)
One atom of each set of equivalent atoms:
Ac 0.0000 0.0000 0.0000 (multiplicity 1)  12 La 3.72
La 0.0000 0.5000 0.5000 (multiplicity 3)  2 O 2.63
O 0.5000 0.5000 0.5000 (multiplicity 1)  6 La 2.63

***

3.
First-principles (PBE) data for a geometry-optimized AcLa3O6 structure, as listed in Alexandria.

The calculation puts the uncorrected formation energy at -3.3791 eV/atom. The calculation puts the density at 6.42 g cm⁻³. The calculation puts the total energy at -8.24 eV per atom.

Unit cell a=10.3835 b=10.3835 c=12.2988 alpha=90.00 beta=90.00 gamma=120.00
With the nearest neighbours (Å) after each atom.
Space group R-3 (No. 148, hexagonal axes)
One atom of each set of equivalent atoms:
Ac 0.0000 0.0000 0.0000 (multiplicity 3)  6 O 2.48
Ac 0.0000 0.0000 0.5000 (multiplicity 3)  6 O 2.51
La 0.0347 0.7705 0.2139 (multiplicity 18)  6 O 2.36-2.57
O 0.0284 0.8027 0.4036 (multiplicity 18)  3 La 2.36-2.57, 1 Ac 2.51
O 0.0289 0.8405 0.8637 (multiplicity 18)  3 La 2.41-2.52, 1 Ac 2.48

***

4.
First-principles (PBE) data for a geometry-optimized Ac2LaO4 structure, as listed in Alexandria.

The calculation puts the uncorrected formation energy at -2.8064 eV/atom. The calculation puts the density at 7.66 g cm⁻³. The calculation puts the total energy at -7.52 eV per atom.

Unit cell a=4.6051 b=4.6051 c=13.4275 alpha=90.00 beta=90.00 gamma=90.00
With the nearest neighbours (Å) after each atom.
Space group I4/mmm (No. 139)
One atom of each set of equivalent atoms:
Ac 0.0000 0.0000 0.1508 (multiplicity 4)  1 O 2.24
La 0.0000 0.0000 0.5000 (multiplicity 2)  6 O 2.30-2.45
O 0.0000 0.0000 0.3173 (multiplicity 4)  1 Ac 2.24, 1 La 2.45
O 0.0000 0.5000 0.0000 (multiplicity 4)  2 La 2.30